1.
Here is a geometry-optimized Ag2HgW structure from Alexandria. Energies are from PBE.

abc: 5.040 5.040 5.425
angles: 82.86 82.86 32.18
Positions (direct):
Ag (0.998, 0.998, 0.001)
Ag (0.750, 0.750, 0.760)
Hg (0.502, 0.502, 0.489)
W (0.250, 0.250, 0.250)

Its symmetry is No. 8. The calculated formation energy comes out at 0.68 eV/atom.

=====

2.
Here is a geometry-optimized InCuRh3 structure from Alexandria. Energies are from PBE.

abc: 4.518 4.518 4.518
angles: 90.00 90.00 90.00
Positions (direct):
Rh (0.000, 0.500, 0.000)
Rh (0.000, 0.000, 0.500)
Rh (0.500, 0.000, 0.000)
Cu (0.000, 0.000, 0.000)
In (0.500, 0.500, 0.500)

Its symmetry is No. 221. The calculated formation energy comes out at 0.82 eV/atom.

=====

3.
Here is a geometry-optimized Re2Hg2As structure from Alexandria. Energies are from PBE.

abc: 3.897 3.897 7.217
angles: 74.34 74.34 90.00
Positions (direct):
Re (0.415, 0.415, 0.170)
Re (0.585, 0.585, 0.830)
As (0.000, 0.000, 0.000)
Hg (0.750, 0.250, 0.500)
Hg (0.250, 0.750, 0.500)

Its symmetry is No. 139. The calculated formation energy comes out at 1.20 eV/atom.

=====

4.
Here is a geometry-optimized Pu2ThCuSe5 structure from Alexandria. Energies are from PBE.

abc: 4.056 9.025 12.410
angles: 90.00 90.00 102.99
Positions (direct):
Pu (0.898, 0.795, 0.849)
Pu (0.113, 0.227, 0.691)
Pu (0.102, 0.205, 0.349)
Pu (0.887, 0.773, 0.191)
Th (0.817, 0.634, 0.525)
Th (0.183, 0.366, 0.025)
Cu (0.556, 0.111, 0.924)
Cu (0.444, 0.889, 0.424)
Se (0.349, 0.699, 0.017)
Se (0.686, 0.373, 0.853)
Se (0.497, 0.994, 0.750)
Se (0.304, 0.608, 0.694)
Se (0.981, 0.962, 0.521)
Se (0.651, 0.301, 0.517)
Se (0.314, 0.627, 0.353)
Se (0.503, 0.006, 0.250)
Se (0.696, 0.392, 0.194)
Se (0.019, 0.038, 0.021)

For the formation energy (no corrections), the calculation gives -11.97 eV/f.u. Its symmetry is No. 36.

=====

5.
Here is a geometry-optimized NdTmCoAg structure from Alexandria. Energies are from PBE.

abc: 5.000 5.000 5.000
angles: 60.00 60.00 60.00
Positions (direct):
Co (0.250, 0.250, 0.250)
Tm (0.000, 0.000, 0.000)
Nd (0.500, 0.500, 0.500)
Ag (0.750, 0.750, 0.750)

Its symmetry is No. 216. The calculated formation energy comes out at -0.12 eV/atom.

=====

6.
Here is a geometry-optimized Rb3Sm3ReO8 structure from Alexandria. Energies are from PBE.

abc: 6.986 6.986 7.746
angles: 116.80 90.00 120.00
Positions (direct):
Rb (0.000, 0.000, 0.000)
Rb (0.000, 0.500, 0.000)
Rb (0.500, 0.500, 0.000)
Sm (0.500, 0.000, 0.500)
Sm (0.500, 0.500, 0.500)
Sm (0.000, 0.500, 0.500)
Re (0.000, 0.000, 0.500)
O (0.274, 0.549, 0.323)
O (0.726, 0.451, 0.677)
O (0.795, 0.589, 0.335)
O (0.205, 0.411, 0.665)
O (0.795, 0.040, 0.335)
O (0.205, 0.960, 0.665)
O (0.246, 0.040, 0.335)
O (0.754, 0.960, 0.665)

For the formation energy (no corrections), the calculation gives -34.84 eV/f.u. Its symmetry is No. 166.

=====

7.
Here is a geometry-optimized K2ZnCu3P3O12F structure from Alexandria. Energies are from PBE.

abc: 14.708 4.967 8.086
angles: 89.11 90.00 90.00
Positions (direct):
K (0.250, 0.453, 0.372)
K (0.500, 0.500, 0.000)
K (0.750, 0.547, 0.628)
K (0.000, 0.500, 0.000)
Zn (0.750, 0.023, 0.945)
Zn (0.250, 0.977, 0.055)
Cu (0.635, 0.068, 0.350)
Cu (0.865, 0.068, 0.350)
Cu (0.135, 0.932, 0.650)
Cu (0.365, 0.932, 0.650)
Cu (0.000, 0.500, 0.500)
Cu (0.500, 0.500, 0.500)
P (0.068, 0.001, 0.301)
P (0.750, 0.514, 0.165)
P (0.932, 0.999, 0.699)
P (0.250, 0.486, 0.835)
P (0.568, 0.999, 0.699)
P (0.432, 0.001, 0.301)
O (0.338, 0.575, 0.741)
O (0.662, 0.425, 0.259)
O (0.525, 0.064, 0.221)
O (0.750, 0.409, 0.985)
O (0.858, 0.912, 0.822)
O (0.580, 0.830, 0.534)
O (0.250, 0.591, 0.015)
O (0.475, 0.936, 0.779)
O (0.922, 0.304, 0.654)
O (0.250, 0.171, 0.841)
O (0.358, 0.088, 0.178)
O (0.162, 0.575, 0.741)
O (0.420, 0.170, 0.466)
O (0.578, 0.304, 0.654)
O (0.025, 0.936, 0.779)
O (0.422, 0.696, 0.346)
O (0.920, 0.830, 0.534)
O (0.642, 0.912, 0.822)
O (0.975, 0.064, 0.221)
O (0.750, 0.829, 0.159)
O (0.080, 0.170, 0.466)
O (0.838, 0.425, 0.259)
O (0.078, 0.696, 0.346)
O (0.142, 0.088, 0.178)
F (0.750, 0.053, 0.477)
F (0.250, 0.947, 0.523)

For the formation energy (no corrections), the calculation gives -39.37 eV/f.u. Its symmetry is No. 11.

=====

8.
Here is a geometry-optimized SnTeH structure from Alexandria. Energies are from PBE.

abc: 4.265 7.722 6.800
angles: 68.06 71.54 89.75
Positions (direct):
H (0.921, 0.673, 0.661)
H (0.079, 0.327, 0.339)
Te (0.192, 0.258, 0.117)
Te (0.808, 0.742, 0.883)
Sn (0.608, 0.969, 0.288)
Sn (0.392, 0.031, 0.712)

For the total energy, the calculation gives -3.382 eV/atom. Its symmetry is No. 2.